Sc3CuAg2: optimized geometry, PBE-GGA.

The structure in POSCAR format:
```
Sc3CuAg2
1.0
3.3564 0.0000 0.0000
0.0000 3.3564 0.0000
0.0000 0.0000 10.2953
Sc Ag Cu
3 2 1
direct
0.0000 0.0000 0.3459
0.0000 0.0000 0.0000
0.0000 0.0000 0.6541
0.5000 0.5000 0.1723
0.5000 0.5000 0.8277
0.5000 0.5000 0.5000
```

Summary:
The crystal system is tetragonal. For the total energy, the calculation gives -30.43 eV for the cell shown.